PmSm4Ag4: optimized geometry, PBE-GGA.

Properties
Energy of formation: -0.017 eV/atom

Cell lengths 9.104, 9.104, 6.393 Å; angles 90.00, 90.00, 90.00 degrees
Space group P4_2/n (No. 86, origin choice 2)
Unique sites:
Pm: 0.250 0.250 0.250 (multiplicity 2)
Sm: 0.045 0.659 0.147 (multiplicity 8)
Ag: 0.030 0.633 0.622 (multiplicity 8)

PmSmAg3: optimized geometry, PBE-GGA.

Properties
Energy of formation: -0.248 eV/atom

Cell lengths 3.592, 28.406, 4.825 Å; angles 90.00, 90.00, 90.00 degrees
Space group Cmcm (No. 63)
Unique sites:
Pm: 0.000 0.074 0.250 (multiplicity 4)
Sm: 0.000 0.209 0.750 (multiplicity 4)
Ag: 0.000 0.325 0.750 (multiplicity 4)
Ag: 0.000 0.380 0.250 (multiplicity 4)
Ag: 0.000 0.477 0.250 (multiplicity 4)

Pm2Sm2Ag: optimized geometry, PBE-GGA.

Properties
Energy of formation: -0.091 eV/atom

Cell lengths 3.654, 3.654, 23.120 Å; angles 90.00, 90.00, 90.00 degrees
Space group I4/mmm (No. 139)
Unique sites:
Pm: 0.000 0.000 0.195 (multiplicity 4)
Sm: 0.000 0.000 0.417 (multiplicity 4)
Ag: 0.000 0.000 0.000 (multiplicity 2)